# PBE-GGA CsTl6In4, relaxed
data_CsTl6In4
_chemical_formula_sum 'Cs1 Tl6 In4'
_space_group_name_H-M_alt 'P -6 m 2'
_space_group_IT_number 187
_space_group_name_Hall 'P -6 2'
_cell_length_a 8.8268
_cell_length_b 8.8268
_cell_length_c 5.4678
_cell_angle_alpha 90.00
_cell_angle_beta 90.00
_cell_angle_gamma 120.00
loop_
_atom_site_label
_atom_site_fract_x
_atom_site_fract_y
_atom_site_fract_z
Cs1 0.0000 0.0000 0.0000
Tl1 0.2030 0.4059 0.5000
Tl2 0.5367 0.0735 0.0000
In1 0.3333 0.6667 0.0000
In2 0.4262 0.2131 0.5000
# **Energy**: -2.40 eV/atom
# **ΔH_f (0 K)**: -0.038 eV/atom

=====

# PBE-GGA Cs3Tl3In2, relaxed
data_Cs3Tl3In2
_chemical_formula_sum 'Cs12 Tl12 In8'
_space_group_name_H-M_alt 'C m c m'
_space_group_IT_number 63
_space_group_name_Hall '-C 2c 2'
_cell_length_a 5.073
_cell_length_b 14.504
_cell_length_c 19.546
_cell_angle_alpha 90.00
_cell_angle_beta 90.00
_cell_angle_gamma 90.00
loop_
_atom_site_label
_atom_site_fract_x
_atom_site_fract_y
_atom_site_fract_z
Cs1 0.000 0.038 0.105
Cs2 0.000 0.362 0.250
Tl1 0.000 0.327 0.032
Tl2 0.000 0.352 0.750
In1 0.000 0.248 0.611
# **Energy**: -1.98 eV/atom
# **Relative energy among the computed polymorphs**: 8 meV/atom
# **ΔH_f (0 K)**: -0.087 eV/atom

=====

# PBE-GGA Cs2Tl3In6, relaxed
data_Cs2Tl3In6
_chemical_formula_sum 'Cs4 Tl6 In12'
_space_group_name_H-M_alt 'C m m m'
_space_group_IT_number 65
_space_group_name_Hall '-C 2 2'
_cell_length_a 13.101
_cell_length_b 14.370
_cell_length_c 4.415
_cell_angle_alpha 90.00
_cell_angle_beta 90.00
_cell_angle_gamma 90.00
loop_
_atom_site_label
_atom_site_fract_x
_atom_site_fract_y
_atom_site_fract_z
Cs1 0.000 0.230 0.000
Tl1 0.000 0.500 0.500
Tl2 0.190 0.500 0.000
In1 0.111 0.000 0.500
In2 0.236 0.351 0.500
# **Energy**: -2.30 eV/atom
# **ΔH_f (0 K)**: -0.004 eV/atom